No. 1
DFT (GGA-PBE) results for crystalline UCdSbO6 at its relaxed geometry.

The calculation puts the final energy at -7.08 eV/atom. The value obtained for the formation energy without anion corrections is -1.962 eV/atom. The density comes out at 7.295 g cm⁻³. The density of states at the Fermi level comes out at 2.83 states/eV/f.u.

The space group is P-31c (No. 163) and the conventional cell measures 5.5669, 5.5669 and 9.6382 Å, with angles of 90.00, 90.00 and 120.00 degrees. Symmetry generates all atoms from U at (0.3333, 0.6667, 0.2500), Cd at (0.0000, 0.0000, 0.0000), Sb at (0.3333, 0.6667, 0.7500) and O at (0.0207, 0.3675, 0.6366).

=====

No. 2
DFT (GGA-PBE) results for crystalline UCd2SbO6 at its relaxed geometry.

The calculation puts the final energy at -6.31 eV/atom. The value obtained for the formation energy without anion corrections is -1.611 eV/atom. The density comes out at 7.312 g cm⁻³. The density of states at the Fermi level comes out at 4.98 states/eV/f.u.

The space group is P4mm (No. 99) and the conventional cell measures 6.025, 6.025 and 4.258 Å, with angles of 90.00, 90.00 and 90.00 degrees. Symmetry generates all atoms from U at (0.000, 0.000, 0.000), Cd at (0.000, 0.500, 0.381), Sb at (0.500, 0.500, 0.983), O at (0.000, 0.000, 0.507), O at (0.249, 0.249, 0.035) and O at (0.500, 0.500, 0.497).